No. 1
# TbCeSiAg PBE relaxed
# Uncorrected formation energy (eV/atom): -0.3486
# V (Å³ per cell): 381.22
data_TbCeSiAg
_chemical_formula_sum 'Tb4 Ce4 Si4 Ag4'
_cell_length_a 7.251
_cell_length_b 7.251
_cell_length_c 7.251
_cell_angle_alpha 90.00
_cell_angle_beta 90.00
_cell_angle_gamma 90.00
_symmetry_space_group_name_H-M 'F -4 3 m'
_symmetry_Int_Tables_number 216
_symmetry_space_group_name_Hall 'F -4 2 3'
loop_
_atom_site_label
_atom_site_type_symbol
_atom_site_fract_x
_atom_site_fract_y
_atom_site_fract_z
Tb1 Tb 0.000 0.000 0.000
Ce1 Ce 0.000 0.000 0.500
Si1 Si 0.250 0.250 0.250
Ag1 Ag 0.250 0.250 0.750



No. 2
# CeYSiAg PBE relaxed
# Uncorrected formation energy (eV/atom): -0.3596
# V (Å³ per cell): 380.21
data_CeYSiAg
_chemical_formula_sum 'Ce4 Y4 Si4 Ag4'
_cell_length_a 7.245
_cell_length_b 7.245
_cell_length_c 7.245
_cell_angle_alpha 90.00
_cell_angle_beta 90.00
_cell_angle_gamma 90.00
_symmetry_space_group_name_H-M 'F -4 3 m'
_symmetry_Int_Tables_number 216
_symmetry_space_group_name_Hall 'F -4 2 3'
loop_
_atom_site_label
_atom_site_type_symbol
_atom_site_fract_x
_atom_site_fract_y
_atom_site_fract_z
Ce1 Ce 0.000 0.000 0.000
Y1 Y 0.000 0.000 0.500
Si1 Si 0.250 0.250 0.250
Ag1 Ag 0.250 0.250 0.750



No. 3
# CeSmAg PBE relaxed
# V (Å³ per cell): 78.40
# Energy above the lowest structure with this stoichiometry (meV per atom): 148.5
data_CeSmAg
_chemical_formula_sum 'Ce1 Sm1 Ag1'
_cell_length_a 5.1034
_cell_length_b 5.1034
_cell_length_c 3.4761
_cell_angle_alpha 90.00
_cell_angle_beta 90.00
_cell_angle_gamma 120.00
_symmetry_space_group_name_H-M 'P 3 m 1'
_symmetry_Int_Tables_number 156
loop_
_symmetry_equiv_pos_as_xyz
'x,y,z'
'-y,x-y,z'
'-x+y,-x,z'
'-y,-x,z'
'-x+y,y,z'
'x,x-y,z'
loop_
_atom_site_label
_atom_site_type_symbol
_atom_site_fract_x
_atom_site_fract_y
_atom_site_fract_z
Ce1 Ce 0.0000 0.0000 0.0000
Sm1 Sm 0.6667 0.3333 0.3663
Ag1 Ag 0.3333 0.6667 0.6761



No. 4
# CeSmAg PBE relaxed
# V (Å³ per cell): 323.36
# Energy above the lowest structure with this stoichiometry (meV per atom): 0.0
data_CeSmAg
_chemical_formula_sum 'Ce4 Sm4 Ag4'
_cell_length_a 3.513
_cell_length_b 17.009
_cell_length_c 5.412
_cell_angle_alpha 90.00
_cell_angle_beta 90.00
_cell_angle_gamma 90.00
_symmetry_space_group_name_H-M 'C m c m'
_symmetry_Int_Tables_number 63
_symmetry_space_group_name_Hall '-C 2c 2'
loop_
_atom_site_label
_atom_site_type_symbol
_atom_site_fract_x
_atom_site_fract_y
_atom_site_fract_z
Ce1 Ce 0.000 0.235 0.250
Sm1 Sm 0.000 0.079 0.750
Ag1 Ag 0.000 0.420 0.750



No. 5
# CeSm3Ag2 PBE relaxed
# V (Å³ per cell): 164.25
data_CeSm3Ag2
_chemical_formula_sum 'Ce1 Sm3 Ag2'
_cell_length_a 3.670
_cell_length_b 3.670
_cell_length_c 12.197
_cell_angle_alpha 90.00
_cell_angle_beta 90.00
_cell_angle_gamma 90.00
_symmetry_space_group_name_H-M 'P 4/m m m'
_symmetry_Int_Tables_number 123
_symmetry_space_group_name_Hall '-P 4 2'
loop_
_atom_site_label
_atom_site_type_symbol
_atom_site_fract_x
_atom_site_fract_y
_atom_site_fract_z
Ce1 Ce 0.000 0.000 0.000
Sm1 Sm 0.500 0.500 0.192
Sm2 Sm 0.500 0.500 0.500
Ag1 Ag 0.000 0.000 0.346



No. 6
# CeSmAg3 PBE relaxed
# V (Å³ per cell): 484.56
data_CeSmAg3
_chemical_formula_sum 'Ce4 Sm4 Ag12'
_cell_length_a 3.424
_cell_length_b 28.973
_cell_length_c 4.885
_cell_angle_alpha 90.00
_cell_angle_beta 90.00
_cell_angle_gamma 90.00
_symmetry_space_group_name_H-M 'C m c m'
_symmetry_Int_Tables_number 63
_symmetry_space_group_name_Hall '-C 2c 2'
loop_
_atom_site_label
_atom_site_type_symbol
_atom_site_fract_x
_atom_site_fract_y
_atom_site_fract_z
Ce1 Ce 0.000 0.074 0.250
Sm1 Sm 0.000 0.210 0.750
Ag1 Ag 0.000 0.325 0.750
Ag2 Ag 0.000 0.380 0.250
Ag3 Ag 0.000 0.476 0.250



No. 7
# CeSm5Ag4 PBE relaxed
# V (Å³ per cell): 266.42
data_CeSm5Ag4
_chemical_formula_sum 'Ce1 Sm5 Ag4'
_cell_length_a 3.679
_cell_length_b 3.679
_cell_length_c 19.682
_cell_angle_alpha 90.00
_cell_angle_beta 90.00
_cell_angle_gamma 90.00
_symmetry_space_group_name_H-M 'P 4/m m m'
_symmetry_Int_Tables_number 123
_symmetry_space_group_name_Hall '-P 4 2'
loop_
_atom_site_label
_atom_site_type_symbol
_atom_site_fract_x
_atom_site_fract_y
_atom_site_fract_z
Ce1 Ce 0.000 0.000 0.000
Sm1 Sm 0.500 0.500 0.119
Sm2 Sm 0.500 0.500 0.308
Sm3 Sm 0.500 0.500 0.500
Ag1 Ag 0.000 0.000 0.214
Ag2 Ag 0.000 0.000 0.405



No. 8
# Ce2SmAg PBE relaxed
# V (Å³ per cell): 437.08
# Energy above the lowest structure with this stoichiometry (meV per atom): 122.8
data_Ce2SmAg
_chemical_formula_sum 'Ce8 Sm4 Ag4'
_cell_length_a 7.589
_cell_length_b 7.589
_cell_length_c 7.589
_cell_angle_alpha 90.00
_cell_angle_beta 90.00
_cell_angle_gamma 90.00
_symmetry_space_group_name_H-M 'F m -3 m'
_symmetry_Int_Tables_number 225
_symmetry_space_group_name_Hall '-F 4 2 3'
loop_
_atom_site_label
_atom_site_type_symbol
_atom_site_fract_x
_atom_site_fract_y
_atom_site_fract_z
Ce1 Ce 0.250 0.250 0.250
Sm1 Sm 0.000 0.000 0.000
Ag1 Ag 0.000 0.000 0.500



No. 9
# CeSm2Ag6 PBE relaxed
# V (Å³ per cell): 205.98
data_CeSm2Ag6
_chemical_formula_sum 'Ce1 Sm2 Ag6'
_cell_length_a 8.4524
_cell_length_b 8.4524
_cell_length_c 3.3291
_cell_angle_alpha 90.00
_cell_angle_beta 90.00
_cell_angle_gamma 120.00
_symmetry_space_group_name_H-M 'P 6/m m m'
_symmetry_Int_Tables_number 191
_symmetry_space_group_name_Hall '-P 6 2'
loop_
_atom_site_label
_atom_site_type_symbol
_atom_site_fract_x
_atom_site_fract_y
_atom_site_fract_z
Ce1 Ce 0.0000 0.0000 0.0000
Sm1 Sm 0.3333 0.6667 0.0000
Ag1 Ag 0.0000 0.3343 0.5000



No. 10
# Ce2SmAg PBE relaxed
# V (Å³ per cell): 113.23
# Energy above the lowest structure with this stoichiometry (meV per atom): 0.0
data_Ce2SmAg
_chemical_formula_sum 'Ce2 Sm1 Ag1'
_cell_length_a 3.462
_cell_length_b 3.462
_cell_length_c 9.449
_cell_angle_alpha 90.00
_cell_angle_beta 90.00
_cell_angle_gamma 90.00
_symmetry_space_group_name_H-M 'P 4/m m m'
_symmetry_Int_Tables_number 123
_symmetry_space_group_name_Hall '-P 4 2'
loop_
_atom_site_label
_atom_site_type_symbol
_atom_site_fract_x
_atom_site_fract_y
_atom_site_fract_z
Ce1 Ce 0.000 0.000 0.224
Sm1 Sm 0.500 0.500 0.500
Ag1 Ag 0.500 0.500 0.000



No. 11
# CeSmAg PBE relaxed
# V (Å³ per cell): 168.74
# Energy above the lowest structure with this stoichiometry (meV per atom): 44.6
data_CeSmAg
_chemical_formula_sum 'Ce2 Sm2 Ag2'
_cell_length_a 3.625
_cell_length_b 3.625
_cell_length_c 12.844
_cell_angle_alpha 90.00
_cell_angle_beta 90.00
_cell_angle_gamma 90.00
_symmetry_space_group_name_H-M 'I 4 m m'
_symmetry_Int_Tables_number 107
_symmetry_space_group_name_Hall 'I 4 -2'
loop_
_atom_site_label
_atom_site_type_symbol
_atom_site_fract_x
_atom_site_fract_y
_atom_site_fract_z
Ce1 Ce 0.000 0.000 0.000
Sm1 Sm 0.000 0.000 0.699
Ag1 Ag 0.000 0.000 0.345



No. 12
# CeSm3Ag4 PBE relaxed
# V (Å³ per cell): 205.25
data_CeSm3Ag4
_chemical_formula_sum 'Ce1 Sm3 Ag4'
_cell_length_a 3.681
_cell_length_b 3.681
_cell_length_c 15.151
_cell_angle_alpha 90.00
_cell_angle_beta 90.00
_cell_angle_gamma 90.00
_symmetry_space_group_name_H-M 'P 4/m m m'
_symmetry_Int_Tables_number 123
_symmetry_space_group_name_Hall '-P 4 2'
loop_
_atom_site_label
_atom_site_type_symbol
_atom_site_fract_x
_atom_site_fract_y
_atom_site_fract_z
Ce1 Ce 0.000 0.000 0.000
Sm1 Sm 0.000 0.000 0.252
Sm2 Sm 0.000 0.000 0.500
Ag1 Ag 0.500 0.500 0.131
Ag2 Ag 0.500 0.500 0.376



No. 13
# Ce2SmAg6 PBE relaxed
# V (Å³ per cell): 204.36
data_Ce2SmAg6
_chemical_formula_sum 'Ce2 Sm1 Ag6'
_cell_length_a 8.5110
_cell_length_b 8.5110
_cell_length_c 3.2576
_cell_angle_alpha 90.00
_cell_angle_beta 90.00
_cell_angle_gamma 120.00
_symmetry_space_group_name_H-M 'P 6/m m m'
_symmetry_Int_Tables_number 191
_symmetry_space_group_name_Hall '-P 6 2'
loop_
_atom_site_label
_atom_site_type_symbol
_atom_site_fract_x
_atom_site_fract_y
_atom_site_fract_z
Ce1 Ce 0.3333 0.6667 0.0000
Sm1 Sm 0.0000 0.0000 0.0000
Ag1 Ag 0.0000 0.3325 0.5000



No. 14
# CeSmAgSn PBE relaxed
# V (Å³ per cell): 438.21
data_CeSmAgSn
_chemical_formula_sum 'Ce4 Sm4 Ag4 Sn4'
_cell_length_a 7.596
_cell_length_b 7.596
_cell_length_c 7.596
_cell_angle_alpha 90.00
_cell_angle_beta 90.00
_cell_angle_gamma 90.00
_symmetry_space_group_name_H-M 'F -4 3 m'
_symmetry_Int_Tables_number 216
_symmetry_space_group_name_Hall 'F -4 2 3'
loop_
_atom_site_label
_atom_site_type_symbol
_atom_site_fract_x
_atom_site_fract_y
_atom_site_fract_z
Ce1 Ce 0.000 0.000 0.000
Sm1 Sm 0.000 0.000 0.500
Ag1 Ag 0.250 0.250 0.250
Sn1 Sn 0.250 0.250 0.750



No. 15
# CeSmTcAg PBE relaxed
# V (Å³ per cell): 366.30
data_CeSmTcAg
_chemical_formula_sum 'Ce4 Sm4 Tc4 Ag4'
_cell_length_a 7.155
_cell_length_b 7.155
_cell_length_c 7.155
_cell_angle_alpha 90.00
_cell_angle_beta 90.00
_cell_angle_gamma 90.00
_symmetry_space_group_name_H-M 'F -4 3 m'
_symmetry_Int_Tables_number 216
_symmetry_space_group_name_Hall 'F -4 2 3'
loop_
_atom_site_label
_atom_site_type_symbol
_atom_site_fract_x
_atom_site_fract_y
_atom_site_fract_z
Ce1 Ce 0.000 0.000 0.000
Sm1 Sm 0.000 0.000 0.500
Tc1 Tc 0.250 0.250 0.750
Ag1 Ag 0.250 0.250 0.250



No. 16
# Ce2SmTl2Ag2 PBE relaxed
# V (Å³ per cell): 535.13
data_Ce2SmTl2Ag2
_chemical_formula_sum 'Ce6 Sm3 Tl6 Ag6'
_cell_length_a 4.8070
_cell_length_b 4.8070
_cell_length_c 26.7411
_cell_angle_alpha 90.00
_cell_angle_beta 90.00
_cell_angle_gamma 120.00
_symmetry_space_group_name_H-M 'R -3 m'
_symmetry_Int_Tables_number 166
_symmetry_space_group_name_Hall '-R 3 2"'
loop_
_atom_site_label
_atom_site_type_symbol
_atom_site_fract_x
_atom_site_fract_y
_atom_site_fract_z
Ce1 Ce 0.0000 0.0000 0.1436
Sm1 Sm 0.0000 0.0000 0.0000
Tl1 Tl 0.0000 0.0000 0.2692
Ag1 Ag 0.0000 0.0000 0.4293



No. 17
# CeSmTlAg PBE relaxed
# V (Å³ per cell): 443.67
data_CeSmTlAg
_chemical_formula_sum 'Ce4 Sm4 Tl4 Ag4'
_cell_length_a 7.627
_cell_length_b 7.627
_cell_length_c 7.627
_cell_angle_alpha 90.00
_cell_angle_beta 90.00
_cell_angle_gamma 90.00
_symmetry_space_group_name_H-M 'F -4 3 m'
_symmetry_Int_Tables_number 216
_symmetry_space_group_name_Hall 'F -4 2 3'
loop_
_atom_site_label
_atom_site_type_symbol
_atom_site_fract_x
_atom_site_fract_y
_atom_site_fract_z
Ce1 Ce 0.000 0.000 0.000
Sm1 Sm 0.000 0.000 0.500
Tl1 Tl 0.250 0.250 0.750
Ag1 Ag 0.250 0.250 0.250



No. 18
# CeSmZnAg PBE relaxed
# V (Å³ per cell): 99.58
# Energy above the lowest structure with this stoichiometry (meV per atom): 0.0
data_CeSmZnAg
_chemical_formula_sum 'Ce1 Sm1 Zn1 Ag1'
_cell_length_a 3.660
_cell_length_b 3.660
_cell_length_c 7.433
_cell_angle_alpha 90.00
_cell_angle_beta 90.00
_cell_angle_gamma 90.00
_symmetry_space_group_name_H-M 'P 4 m m'
_symmetry_Int_Tables_number 99
loop_
_symmetry_equiv_pos_as_xyz
'x,y,z'
'-y,x,z'
'-x,-y,z'
'y,-x,z'
'-x,y,z'
'y,x,z'
'x,-y,z'
'-y,-x,z'
loop_
_atom_site_label
_atom_site_type_symbol
_atom_site_fract_x
_atom_site_fract_y
_atom_site_fract_z
Ce1 Ce 0.000 0.000 0.000
Sm1 Sm 0.000 0.000 0.481
Zn1 Zn 0.500 0.500 0.243
Ag1 Ag 0.500 0.500 0.732



No. 19
# CeSmZnAg PBE relaxed
# V (Å³ per cell): 401.60
# Energy above the lowest structure with this stoichiometry (meV per atom): 25.1
data_CeSmZnAg
_chemical_formula_sum 'Ce4 Sm4 Zn4 Ag4'
_cell_length_a 7.378
_cell_length_b 7.378
_cell_length_c 7.378
_cell_angle_alpha 90.00
_cell_angle_beta 90.00
_cell_angle_gamma 90.00
_symmetry_space_group_name_H-M 'F -4 3 m'
_symmetry_Int_Tables_number 216
_symmetry_space_group_name_Hall 'F -4 2 3'
loop_
_atom_site_label
_atom_site_type_symbol
_atom_site_fract_x
_atom_site_fract_y
_atom_site_fract_z
Ce1 Ce 0.000 0.000 0.000
Sm1 Sm 0.000 0.000 0.500
Zn1 Zn 0.250 0.250 0.750
Ag1 Ag 0.250 0.250 0.250



No. 20
# CeAg3Sn2 PBE relaxed
# V (Å³ per cell): 282.43
data_CeAg3Sn2
_chemical_formula_sum 'Ce2 Ag6 Sn4'
_cell_length_a 4.747
_cell_length_b 8.177
_cell_length_c 8.674
_cell_angle_alpha 61.88
_cell_angle_beta 74.17
_cell_angle_gamma 90.00
_symmetry_space_group_name_H-M 'P -1'
_symmetry_Int_Tables_number 2
loop_
_symmetry_equiv_pos_as_xyz
'x,y,z'
'-x,-y,-z'
loop_
_atom_site_label
_atom_site_type_symbol
_atom_site_fract_x
_atom_site_fract_y
_atom_site_fract_z
Ce1 Ce 0.133 0.133 0.234
Ag1 Ag 0.000 0.335 0.499
Ag2 Ag 0.316 0.102 0.869
Ag3 Ag 0.316 0.530 0.868
Sn1 Sn 0.186 0.686 0.129
Sn2 Sn 0.500 0.173 0.500



no.,final energy (eV/atom)
1,-5.058
2,-5.528
3,-4.441
4,-4.590
5,-4.442
6,-4.019
7,-4.294
8,-4.677
9,-3.827
10,-4.800
11,-4.545
12,-4.157
13,-3.933
14,-4.801
15,-5.984
16,-4.017
17,-4.182
18,-3.896
19,-3.871
20,-3.972